The following is a PBE calculation of a relaxed structure of Na2CrPN4, from Alexandria via LeMat-Bulk.

The structure in POSCAR format:
```
Na2CrPN4
1.0
-2.542 2.542 3.872
2.542 -2.542 3.872
2.542 2.542 -3.872
Na Cr P N
2 1 1 4
direct
0.000 0.000 0.000
0.750 0.250 0.500
0.500 0.500 0.000
0.250 0.750 0.500
0.242 0.107 0.611
0.369 0.758 0.866
0.496 0.631 0.389
0.893 0.504 0.134
```

Calculated values
The total energy comes out at -6.847 eV per atom. The value obtained for the uncorrected formation energy is -0.475 eV per atom. The calculated density is 3.07 g/cm3. The calculation puts the calculated volume at 12.5 Å³ per atom.